Compound: Tb10DyTm4
Source: Alexandria
Functional: PBE
Structure: relaxed

```
data_Tb10DyTm4
_chemical_formula_sum 'Tb10 Dy1 Tm4'
_symmetry_space_group_name_H-M 'P 1'
_symmetry_Int_Tables_number 1
_cell_length_a 9.350
_cell_length_b 9.350
_cell_length_c 9.350
_cell_angle_alpha 99.59
_cell_angle_beta 99.59
_cell_angle_gamma 131.82
loop_
_symmetry_equiv_pos_as_xyz
'x,y,z'
loop_
_atom_site_label
_atom_site_type_symbol
_atom_site_fract_x
_atom_site_fract_y
_atom_site_fract_z
_atom_site_occupancy
Tb1 Tb 0.049 0.150 0.699 1
Tb2 Tb 0.150 0.450 0.101 1
Tb3 Tb 0.250 0.750 0.500 1
Tb4 Tb 0.349 0.049 0.899 1
Tb5 Tb 0.450 0.349 0.301 1
Tb6 Tb 0.550 0.651 0.699 1
Tb7 Tb 0.651 0.951 0.101 1
Tb8 Tb 0.750 0.250 0.500 1
Tb9 Tb 0.850 0.550 0.899 1
Tb10 Tb 0.951 0.850 0.301 1
Dy1 Dy 0.500 0.500 0.000 1
Tm1 Tm 0.100 0.300 0.400 1
Tm2 Tm 0.300 0.900 0.200 1
Tm3 Tm 0.700 0.100 0.800 1
Tm4 Tm 0.900 0.700 0.600 1
```

Its formation energy from the elements is 10.75 eV per formula unit. The space group is I4/m (87). As for the electronic total energy: -3.87 eV per atom.